Cs2LiNdI5 | PBE | relaxed

Lattice parameters (Å, degrees): 4.5355 11.5482 16.3810 90.00 90.00 101.32
Last column: magnetic moment on the atom in μB.
Atoms (fractional coordinates):
I1 0.7113 0.4225 0.1602  0.00
I2 0.5055 0.0109 0.7939  0.00
I3 0.3091 0.6183 0.3760  0.00
I4 0.6909 0.3817 0.8760  0.00
I5 0.4945 0.9891 0.2939  0.00
I6 0.0623 0.1247 0.0324  0.00
I7 0.6576 0.3153 0.5041  0.00
I8 0.3424 0.6847 0.0041  0.00
I9 0.9377 0.8753 0.5324  0.00
I10 0.2887 0.5775 0.6602  0.00
Cs1 0.8838 0.7676 0.1889  0.00
Cs2 0.8722 0.7444 0.8155  0.00
Cs3 0.1278 0.2556 0.3155  0.00
Cs4 0.1162 0.2324 0.6889  0.00
Nd1 0.2030 0.4060 0.0192  0.12
Nd2 0.7970 0.5940 0.5192  0.12
Li1 0.5692 0.1383 0.9337  0.00
Li2 0.4308 0.8617 0.4337  0.00

Uncorrected formation energy: -1345 meV/atom

TlAu3S | PBE | relaxed

Lattice parameters (Å, degrees): 5.2986 5.2986 5.2986 90.00 90.00 90.00
Last column: magnetic moment on the atom in μB.
Atoms (fractional coordinates):
Tl1 0.0000 0.0000 0.0000  0.00
S1 0.5000 0.5000 0.5000  0.83
Au1 0.5000 0.0000 0.0000  0.11
Au2 0.0000 0.0000 0.5000  0.04
Au3 0.0000 0.5000 0.0000  0.12

Polymorph energy (0 for the lowest one): 0.831 eV per atom
Uncorrected formation energy: 1095 meV/atom

Th2NpSe5 | PBE | relaxed

Lattice parameters (Å, degrees): 7.8534 8.3155 12.6560 90.00 90.00 90.00
Last column: magnetic moment on the atom in μB.
Atoms (fractional coordinates):
Se1 0.3373 0.5428 0.6037  -0.05
Se2 0.6627 0.0428 0.3963  -0.05
Se3 0.3246 0.7500 0.3169  -0.02
Se4 0.1754 0.7500 0.8169  -0.02
Se5 0.8373 0.0428 0.8963  -0.05
Se6 0.2041 0.2500 0.7868  -0.02
Se7 0.8246 0.2500 0.1831  -0.02
Se8 0.7041 0.7500 0.7132  -0.02
Se9 0.0364 0.2500 0.5018  -0.02
Se10 0.7959 0.7500 0.2132  -0.02
Se11 0.1627 0.9572 0.1037  -0.05
Se12 0.8373 0.4572 0.8963  -0.05
Se13 0.1627 0.5428 0.1037  -0.05
Se14 0.9636 0.7500 0.4982  -0.02
Se15 0.6627 0.4572 0.3963  -0.05
Se16 0.2959 0.2500 0.2868  -0.02
Se17 0.5364 0.7500 0.9982  -0.02
Se18 0.3373 0.9572 0.6037  -0.05
Se19 0.4636 0.2500 0.0018  -0.02
Se20 0.6754 0.2500 0.6831  -0.02
Np1 0.0732 0.2500 0.0047  3.88
Np2 0.4268 0.2500 0.5047  3.88
Np3 0.5732 0.7500 0.4953  3.88
Np4 0.9268 0.7500 0.9953  3.88
Th1 0.5153 0.9991 0.1802  0.08
Th2 0.9847 0.5009 0.6802  0.08
Th3 0.5153 0.5009 0.1802  0.08
Th4 0.0153 0.0009 0.3198  0.08
Th5 0.4847 0.4991 0.8198  0.08
Th6 0.4847 0.0009 0.8198  0.08
Th7 0.9847 0.9991 0.6802  0.08
Th8 0.0153 0.4991 0.3198  0.08

Uncorrected formation energy: -1529 meV/atom

DyPuCo | PBE | relaxed

Lattice parameters (Å, degrees): 4.4793 4.2004 4.2004 120.00 90.00 90.00
Last column: magnetic moment on the atom in μB.
Atoms (fractional coordinates):
Dy1 0.6665 0.6667 0.3333  0.41
Pu1 0.1664 0.3333 0.6667  5.27
Co1 0.1671 0.0000 0.0000  -0.51

Polymorph energy (0 for the lowest one): 0.292 eV per atom
ΔE_f: 56 kJ/mol of formula units

RbSr3Cu4Br12 | PBE | relaxed

Lattice parameters (Å, degrees): 9.5759 9.5759 9.5759 104.44 104.44 104.44
Last column: magnetic moment on the atom in μB.
Atoms (fractional coordinates):
Sr1 0.0000 0.5530 0.4470  0.00
Sr2 0.4470 0.0000 0.5530  0.00
Sr3 0.5530 0.4470 0.0000  0.00
Br1 0.0141 0.6468 0.7801  0.02
Br2 0.7801 0.0141 0.6468  0.02
Br3 0.3443 0.6557 0.5000  0.02
Br4 0.5000 0.3443 0.6557  0.02
Br5 0.6557 0.5000 0.3443  0.02
Br6 0.9032 0.5000 0.0968  0.03
Br7 0.9859 0.2199 0.3532  0.02
Br8 0.0968 0.9032 0.5000  0.03
Br9 0.2199 0.3532 0.9859  0.02
Br10 0.6468 0.7801 0.0141  0.02
Br11 0.5000 0.0968 0.9032  0.03
Br12 0.3532 0.9859 0.2199  0.02
Rb1 0.0000 0.0000 0.0000  0.00
Cu1 0.0646 0.5000 0.9354  0.20
Cu2 0.5000 0.9354 0.0646  0.20
Cu3 0.5000 0.5000 0.5000  0.16
Cu4 0.9354 0.0646 0.5000  0.20

Uncorrected formation energy: -1221 meV/atom

Sr2GaCl | PBE | relaxed

Lattice parameters (Å, degrees): 5.6164 5.6164 5.6164 60.00 60.00 60.00
Last column: magnetic moment on the atom in μB.
Atoms (fractional coordinates):
Sr1 0.2500 0.2500 0.2500  0.11
Sr2 0.7500 0.7500 0.7500  0.11
Cl1 0.0000 0.0000 0.0000  0.07
Ga1 0.5000 0.5000 0.5000  0.41

Polymorph energy (0 for the lowest one): 0.265 eV per atom
Uncorrected formation energy: -780 meV/atom

LaHf2Zn9 | PBE | relaxed

Lattice parameters (Å, degrees): 5.3271 5.3271 9.0036 72.79 72.79 60.00
Last column: magnetic moment on the atom in μB.
Atoms (fractional coordinates):
La1 0.0000 0.0000 0.0000  0.04
Zn1 0.5000 0.5000 0.5000  0.00
Zn2 0.3357 0.3357 0.9929  0.01
Zn3 0.9218 0.4088 0.2606  0.01
Zn4 0.4088 0.4088 0.2606  0.01
Zn5 0.5912 0.5912 0.7394  0.01
Zn6 0.6643 0.6643 0.0071  0.01
Zn7 0.0782 0.5912 0.7394  0.01
Zn8 0.4088 0.9218 0.2606  0.01
Zn9 0.5912 0.0782 0.7394  0.01
Hf1 0.8545 0.8545 0.4366  0.39
Hf2 0.1455 0.1455 0.5634  0.39

ΔE_f: -292 kJ/mol of formula units

Ac3NdEr | PBE | relaxed

Lattice parameters (Å, degrees): 7.6389 10.5917 9.2508 138.66 90.00 111.14
Atoms (fractional coordinates):
Ac1 0.8865 0.3036 0.6566
Ac2 0.1135 0.6964 0.3434
Ac3 0.4171 0.3036 0.6566
Ac4 0.8355 0.6710 0.6691
Ac5 0.1645 0.3290 0.3309
Ac6 0.5829 0.6964 0.3434
Er1 0.0820 0.1640 0.8323
Er2 0.9180 0.8360 0.1677
Nd1 0.5833 0.1665 0.9528
Nd2 0.4167 0.8335 0.0472

ΔE_f: 103 kJ/mol of formula units

BeMoCl2 | PBE | relaxed

Lattice parameters (Å, degrees): 3.0125 3.3033 7.9353 83.70 90.00 90.00
Atoms (fractional coordinates):
Cl1 0.5000 0.4000 0.3355
Cl2 0.0000 0.0052 0.8761
Be1 0.5000 0.7875 0.7188
Mo1 0.0000 0.3072 0.5696

Polymorph energy (0 for the lowest one): 0.030 eV per atom
Uncorrected formation energy: -275 meV/atom

MnCuW4 | PBE | relaxed

Lattice parameters (Å, degrees): 5.2255 5.2255 5.2255 60.00 60.00 60.00
Last column: magnetic moment on the atom in μB.
Atoms (fractional coordinates):
W1 0.6243 0.6243 0.1270  -0.17
W2 0.6243 0.1270 0.6243  -0.17
W3 0.6243 0.6243 0.6243  -0.17
W4 0.1270 0.6243 0.6243  -0.17
Cu1 0.2500 0.2500 0.2500  -0.04
Mn1 0.0000 0.0000 0.0000  3.14

ΔE_f: 425 kJ/mol of formula units

YTh4 | PBE | relaxed

Lattice parameters (Å, degrees): 3.5659 3.5528 15.3868 76.71 90.01 120.18
Atoms (fractional coordinates):
Th1 0.7392 0.4772 0.3993
Th2 0.4680 0.9437 0.7993
Th3 0.5320 0.0563 0.2007
Th4 0.2608 0.5228 0.6007
Y1 0.0000 0.0000 0.0000

Polymorph energy (0 for the lowest one): 0.024 eV per atom
ΔE_f: 29 kJ/mol of formula units

KP2Os | PBE | relaxed

Lattice parameters (Å, degrees): 4.8121 4.8121 3.0290 90.00 90.00 106.19
Atoms (fractional coordinates):
K1 0.5000 0.0000 0.5000
Os1 0.0000 0.5000 0.5000
P1 0.0000 0.0000 0.0000
P2 0.5000 0.5000 0.0000

Polymorph energy (0 for the lowest one): 1.197 eV per atom
ΔE_f: 400 kJ/mol of formula units

Zr2PSe | PBE | relaxed

Lattice parameters (Å, degrees): 3.7945 3.7945 6.7924 73.78 73.78 59.97
Atoms (fractional coordinates):
P1 0.7500 0.7500 0.7500
Zr1 0.0144 0.0144 0.9565
Zr2 0.4856 0.4856 0.5435
Se1 0.2500 0.2500 0.2500

Polymorph energy (0 for the lowest one): 0.019 eV per atom
Uncorrected formation energy: -1318 meV/atom

LiSiTe2 | PBE | relaxed

Lattice parameters (Å, degrees): 5.1115 5.1115 5.1115 60.00 60.00 60.00
Atoms (fractional coordinates):
Te1 0.2500 0.2500 0.2500
Te2 0.7500 0.7500 0.7500
Li1 0.0000 0.0000 0.0000
Si1 0.5000 0.5000 0.5000

Polymorph energy (0 for the lowest one): 0.343 eV per atom
Uncorrected formation energy: 45 meV/atom

Rb2Tl2SiTe4 | PBE | relaxed

Lattice parameters (Å, degrees): 6.2904 7.4447 7.4447 70.22 100.19 100.19
Atoms (fractional coordinates):
Te1 0.7554 0.8935 0.3397
Te2 0.2446 0.6603 0.1065
Te3 0.2446 0.1065 0.6603
Te4 0.7554 0.3397 0.8935
Tl1 0.8282 0.8437 0.8437
Tl2 0.1718 0.1563 0.1563
Rb1 0.7180 0.3732 0.3732
Rb2 0.2820 0.6268 0.6268
Si1 0.5000 0.0000 0.0000

Uncorrected formation energy: -374 meV/atom

PmAl3CuPd | PBE | relaxed

Lattice parameters (Å, degrees): 5.8885 6.2298 6.8785 116.93 90.00 90.00
Atoms (fractional coordinates):
Cu1 0.2500 0.9398 0.8796
Cu2 0.7500 0.0602 0.1204
Al1 0.0000 0.7113 0.0000
Al2 0.5000 0.7113 0.0000
Al3 0.2500 0.1468 0.2935
Al4 0.5000 0.2887 0.0000
Al5 0.7500 0.8532 0.7065
Al6 0.0000 0.2887 0.0000
Pd1 0.2500 0.3583 0.7167
Pd2 0.7500 0.6417 0.2833
Pm1 0.7500 0.2815 0.5630
Pm2 0.2500 0.7185 0.4370

ΔE_f: -237 kJ/mol of formula units

Tb7HoSc4 | PBE | relaxed

Lattice parameters (Å, degrees): 5.7500 9.0790 8.2484 65.44 69.60 71.54
Last column: magnetic moment on the atom in μB.
Atoms (fractional coordinates):
Tb1 0.2393 0.7254 0.7960  0.01
Tb2 0.7607 0.2746 0.2040  0.01
Tb3 0.5000 0.0000 0.0000  0.17
Tb4 0.0885 0.5526 0.2703  0.01
Tb5 0.7907 0.8829 0.5356  0.01
Tb6 0.2093 0.1171 0.4644  0.01
Tb7 0.9115 0.4474 0.7297  0.01
Sc1 0.5560 0.2986 0.5895  0.00
Sc2 0.4440 0.7014 0.4105  0.00
Sc3 0.3340 0.3494 0.9826  0.02
Sc4 0.6660 0.6506 0.0174  0.02
Ho1 0.0000 0.0000 0.0000  0.17

ΔE_f: 285 kJ/mol of formula units

Fe2CuHIr | PBE | relaxed

Lattice parameters (Å, degrees): 3.7062 3.7062 3.8203 90.00 90.00 90.00
Last column: magnetic moment on the atom in μB.
Atoms (fractional coordinates):
Fe1 0.0000 0.5000 0.0000  2.57
Fe2 0.5000 0.0000 0.0000  2.57
H1 0.0000 0.0000 0.0000  -0.03
Ir1 0.5000 0.5000 0.5000  0.66
Cu1 0.0000 0.0000 0.5000  0.16

Polymorph energy (0 for the lowest one): 0.031 eV per atom

Ba3Zn5O12 | PBE | relaxed

Lattice parameters (Å, degrees): 11.6113 11.6113 11.6113 109.47 109.47 109.47
Last column: magnetic moment on the atom in μB.
Atoms (fractional coordinates):
O1 0.5999 0.9906 0.6793  0.52
O2 0.4206 0.1093 0.5999  0.52
O3 0.4001 0.3907 0.5794  0.52
O4 0.9001 0.0794 0.8907  0.52
O5 0.5094 0.1888 0.1093  0.52
O6 0.9906 0.5999 0.1793  0.52
O7 0.8207 0.9206 0.3112  0.52
O8 0.5794 0.8907 0.4001  0.52
O9 0.6793 0.1888 0.5794  0.52
O10 0.0094 0.4001 0.8207  0.52
O11 0.1888 0.6793 0.0794  0.52
O12 0.0094 0.6093 0.6888  0.52
O13 0.3112 0.4206 0.8207  0.52
O14 0.6888 0.5794 0.1793  0.52
O15 0.4001 0.0094 0.3207  0.52
O16 0.5999 0.6093 0.4206  0.52
O17 0.0999 0.1793 0.4906  0.52
O18 0.9001 0.8207 0.5094  0.52
O19 0.4906 0.6793 0.0999  0.52
O20 0.9206 0.0999 0.6093  0.52
O21 0.8112 0.3207 0.9206  0.52
O22 0.1793 0.0999 0.9906  0.52
O23 0.6093 0.5999 0.9206  0.52
O24 0.8207 0.9001 0.0094  0.52
O25 0.3207 0.5094 0.4001  0.52
O26 0.6888 0.1093 0.0094  0.52
O27 0.4206 0.3112 0.3207  0.52
O28 0.5794 0.6888 0.6793  0.52
O29 0.8907 0.3112 0.4906  0.52
O30 0.0999 0.9206 0.1093  0.52
O31 0.3112 0.8907 0.9906  0.52
O32 0.1888 0.5094 0.6093  0.52
O33 0.8907 0.5794 0.9001  0.52
O34 0.4906 0.8112 0.8907  0.52
O35 0.1093 0.4206 0.0999  0.52
O36 0.5094 0.3207 0.9001  0.52
O37 0.3907 0.4001 0.0794  0.52
O38 0.6793 0.4906 0.5999  0.52
O39 0.6093 0.0094 0.1888  0.52
O40 0.9906 0.3907 0.3112  0.52
O41 0.3907 0.9906 0.8112  0.52
O42 0.3207 0.8112 0.4206  0.52
O43 0.1793 0.0794 0.6888  0.52
O44 0.0794 0.9001 0.3907  0.52
O45 0.8112 0.4906 0.3907  0.52
O46 0.9206 0.8207 0.8112  0.52
O47 0.0794 0.1793 0.1888  0.52
O48 0.1093 0.6888 0.5094  0.52
Zn1 0.3750 0.1250 0.7500  0.11
Zn2 0.7500 0.6250 0.3750  0.11
Zn3 0.8750 0.6250 0.7500  0.11
Zn4 0.5000 0.5000 0.0000  0.14
Zn5 0.7500 0.1250 0.8750  0.11
Zn6 0.5000 0.5000 0.5000  0.14
Zn7 0.8750 0.2500 0.6250  0.11
Zn8 0.0000 0.0000 0.0000  0.14
Zn9 0.0000 0.0000 0.5000  0.14
Zn10 0.2500 0.8750 0.1250  0.11
Zn11 0.1250 0.7500 0.3750  0.11
Zn12 0.6250 0.8750 0.2500  0.11
Zn13 0.5000 0.0000 0.0000  0.14
Zn14 0.6250 0.7500 0.8750  0.11
Zn15 0.5000 0.0000 0.5000  0.14
Zn16 0.0000 0.5000 0.5000  0.14
Zn17 0.2500 0.3750 0.6250  0.11
Zn18 0.0000 0.5000 0.0000  0.14
Zn19 0.1250 0.3750 0.2500  0.11
Zn20 0.3750 0.2500 0.1250  0.11
Ba1 0.1250 0.8750 0.7500  0.03
Ba2 0.8750 0.7500 0.1250  0.03
Ba3 0.3750 0.7500 0.6250  0.03
Ba4 0.2500 0.6250 0.8750  0.03
Ba5 0.1250 0.2500 0.8750  0.03
Ba6 0.6250 0.3750 0.7500  0.03
Ba7 0.7500 0.8750 0.6250  0.03
Ba8 0.8750 0.1250 0.2500  0.03
Ba9 0.2500 0.1250 0.3750  0.03
Ba10 0.6250 0.2500 0.3750  0.03
Ba11 0.7500 0.3750 0.1250  0.03
Ba12 0.3750 0.6250 0.2500  0.03

Uncorrected formation energy: -1162 meV/atom

Li4PuSn | PBE | relaxed

Lattice parameters (Å, degrees): 5.5319 5.5319 5.5319 60.00 60.00 60.00
Last column: magnetic moment on the atom in μB.
Atoms (fractional coordinates):
Li1 0.6254 0.6254 0.1239  0.00
Li2 0.6254 0.1239 0.6254  0.00
Li3 0.6254 0.6254 0.6254  0.00
Li4 0.1239 0.6254 0.6254  0.00
Pu1 0.2500 0.2500 0.2500  5.64
Sn1 0.0000 0.0000 0.0000  -0.04

ΔE_f: -31 kJ/mol of formula units